DFT (PBE) results for crystalline Tb5Nd12Er2 at its relaxed geometry.

```
data_Tb5Nd12Er2
_chemical_formula_sum 'Tb5 Nd12 Er2'
_space_group_name_H-M_alt 'P 1'
_space_group_IT_number 1
_space_group_name_Hall 'P 1'
_cell_length_a 10.650
_cell_length_b 9.315
_cell_length_c 8.082
_cell_angle_alpha 86.93
_cell_angle_beta 90.00
_cell_angle_gamma 124.86
loop_
_atom_site_label
_atom_site_type_symbol
_atom_site_fract_x
_atom_site_fract_y
_atom_site_fract_z
Nd1 Nd 0.131 0.263 0.895
Tb1 Tb 0.344 0.688 0.093
Nd2 Nd 0.446 0.892 0.712
Tb2 Tb 0.242 0.484 0.515
Nd3 Nd 0.554 0.108 0.288
Nd4 Nd 0.960 0.371 0.207
Tb3 Tb 0.758 0.516 0.485
Nd5 Nd 0.411 0.371 0.207
Nd6 Nd 0.833 0.213 0.614
Er1 Er 0.731 0.000 0.000
Nd7 Nd 0.869 0.737 0.105
Tb4 Tb 0.656 0.312 0.907
Nd8 Nd 0.380 0.213 0.614
Nd9 Nd 0.589 0.629 0.793
Nd10 Nd 0.620 0.787 0.386
Nd11 Nd 0.040 0.629 0.793
Nd12 Nd 0.167 0.787 0.386
Tb5 Tb 0.000 0.000 0.500
Er2 Er 0.269 0.000 0.000
```

Summary:
**Excess energy over the best structure of this formula in the dataset**: 0.000 eV/atom
**Space-group type**: C2/m, No. 12
**Density of states at the Fermi level**: 27.62 states/eV per cell
**DFT formation energy**: 2.43 eV per formula unit

=====

DFT (PBE) results for crystalline K2CeAgCl6 at its relaxed geometry.

```
data_K2CeAgCl6
_chemical_formula_sum 'K2 Ce1 Ag1 Cl6'
_space_group_name_H-M_alt 'P 1'
_space_group_IT_number 1
_space_group_name_Hall 'P 1'
_cell_length_a 7.716
_cell_length_b 7.716
_cell_length_c 7.716
_cell_angle_alpha 60.00
_cell_angle_beta 60.00
_cell_angle_gamma 60.00
loop_
_atom_site_label
_atom_site_type_symbol
_atom_site_fract_x
_atom_site_fract_y
_atom_site_fract_z
Cl1 Cl 0.249 0.249 0.751
K1 K 0.750 0.750 0.750
Cl2 Cl 0.751 0.751 0.249
Cl3 Cl 0.249 0.751 0.751
Cl4 Cl 0.249 0.751 0.249
Cl5 Cl 0.751 0.249 0.249
Cl6 Cl 0.751 0.249 0.751
Ag1 Ag 0.000 0.000 0.000
K2 K 0.250 0.250 0.250
Ce1 Ce 0.500 0.500 0.500
```

Summary:
**Excess energy over the best structure of this formula in the dataset**: 0.053 eV/atom
**Space-group type**: Fm-3m, No. 225
**Formation energy without anion corrections**: -1.7183 eV per atom
**Density of states at the Fermi level**: 8.47 states/eV per cell

=====

DFT (PBE) results for crystalline NpNbTe at its relaxed geometry.

```
data_NpNbTe
_chemical_formula_sum 'Np2 Nb2 Te2'
_space_group_name_H-M_alt 'P 1'
_space_group_IT_number 1
_space_group_name_Hall 'P 1'
_cell_length_a 5.273
_cell_length_b 4.590
_cell_length_c 6.351
_cell_angle_alpha 90.00
_cell_angle_beta 90.00
_cell_angle_gamma 90.00
loop_
_atom_site_label
_atom_site_type_symbol
_atom_site_fract_x
_atom_site_fract_y
_atom_site_fract_z
Np1 Np 0.000 0.000 0.441
Nb1 Nb 0.000 0.500 0.235
Nb2 Nb 0.500 0.000 0.765
Np2 Np 0.500 0.500 0.559
Te1 Te 0.000 0.000 0.936
Te2 Te 0.500 0.500 0.064
```

Summary:
**Space-group type**: Pmmn, No. 59
**Formation energy without anion corrections**: 0.3885 eV per atom
**Density of states at the Fermi level**: 14.16 states/eV per cell

=====

DFT (PBE) results for crystalline Y2US4 at its relaxed geometry.

```
data_Y2US4
_chemical_formula_sum 'Y4 U2 S8'
_space_group_name_H-M_alt 'P 1'
_space_group_IT_number 1
_space_group_name_Hall 'P 1'
_cell_length_a 3.839
_cell_length_b 6.774
_cell_length_c 12.973
_cell_angle_alpha 90.00
_cell_angle_beta 90.00
_cell_angle_gamma 106.46
loop_
_atom_site_label
_atom_site_type_symbol
_atom_site_fract_x
_atom_site_fract_y
_atom_site_fract_z
S1 S 0.500 0.000 0.000
S2 S 0.773 0.547 0.375
S3 S 0.500 0.000 0.500
U1 U 0.379 0.758 0.250
S4 S 0.227 0.453 0.875
S5 S 0.968 0.936 0.750
Y1 Y 0.133 0.266 0.067
Y2 Y 0.867 0.734 0.567
Y3 Y 0.133 0.266 0.433
S6 S 0.773 0.547 0.125
Y4 Y 0.867 0.734 0.933
S7 S 0.032 0.064 0.250
U2 U 0.621 0.242 0.750
S8 S 0.227 0.453 0.625
```

Summary:
**Space-group type**: Cmcm, No. 63
**Formation energy without anion corrections**: -1.7895 eV per atom
**Density of states at the Fermi level**: 13.06 states/eV per cell

=====

DFT (PBE) results for crystalline Mn2V3Ni at its relaxed geometry.

```
data_Mn2V3Ni
_chemical_formula_sum 'Mn2 V3 Ni1'
_space_group_name_H-M_alt 'P 1'
_space_group_IT_number 1
_space_group_name_Hall 'P 1'
_cell_length_a 2.899
_cell_length_b 2.899
_cell_length_c 8.581
_cell_angle_alpha 90.00
_cell_angle_beta 90.00
_cell_angle_gamma 90.00
loop_
_atom_site_label
_atom_site_type_symbol
_atom_site_fract_x
_atom_site_fract_y
_atom_site_fract_z
Mn1 Mn 0.500 0.500 0.832
Ni1 Ni 0.500 0.500 0.500
V1 V 0.000 0.000 0.672
V2 V 0.000 0.000 0.000
V3 V 0.000 0.000 0.328
Mn2 Mn 0.500 0.500 0.168
```

Summary:
**Space-group type**: P4/mmm, No. 123
**Density of states at the Fermi level**: 6.54 states/eV per cell
**DFT formation energy**: -1.03 eV per formula unit

=====

DFT (PBE) results for crystalline Cs5AgHg4 at its relaxed geometry.

```
data_Cs5AgHg4
_chemical_formula_sum 'Cs5 Ag1 Hg4'
_space_group_name_H-M_alt 'P 1'
_space_group_IT_number 1
_space_group_name_Hall 'P 1'
_cell_length_a 5.142
_cell_length_b 9.504
_cell_length_c 12.396
_cell_angle_alpha 114.51
_cell_angle_beta 101.97
_cell_angle_gamma 90.00
loop_
_atom_site_label
_atom_site_type_symbol
_atom_site_fract_x
_atom_site_fract_y
_atom_site_fract_z
Cs1 Cs 0.868 0.995 0.735
Cs2 Cs 0.500 0.500 0.000
Hg1 Hg 0.381 0.710 0.763
Hg2 Hg 0.964 0.786 0.929
Ag1 Ag 0.500 0.000 0.000
Cs3 Cs 0.132 0.005 0.265
Hg3 Hg 0.619 0.290 0.237
Cs4 Cs 0.803 0.393 0.606
Hg4 Hg 0.036 0.214 0.071
Cs5 Cs 0.197 0.607 0.394
```

Summary:
**Space-group type**: C2/m, No. 12
**Density of states at the Fermi level**: 5.37 states/eV per cell
**DFT formation energy**: -1.58 eV per formula unit

=====

DFT (PBE) results for crystalline Tl3Re at its relaxed geometry.

```
data_Tl3Re
_chemical_formula_sum 'Tl3 Re1'
_space_group_name_H-M_alt 'P 1'
_space_group_IT_number 1
_space_group_name_Hall 'P 1'
_cell_length_a 5.857
_cell_length_b 5.857
_cell_length_c 5.857
_cell_angle_alpha 116.59
_cell_angle_beta 116.59
_cell_angle_gamma 116.59
loop_
_atom_site_label
_atom_site_type_symbol
_atom_site_fract_x
_atom_site_fract_y
_atom_site_fract_z
Tl1 Tl 0.500 0.000 0.500
Re1 Re 0.000 0.000 0.000
Tl2 Tl 0.000 0.500 0.500
Tl3 Tl 0.500 0.500 0.000
```

Summary:
**Excess energy over the best structure of this formula in the dataset**: 0.519 eV/atom
**Space-group type**: R-3m, No. 166
**Density of states at the Fermi level**: 3.38 states/eV per cell
**DFT formation energy**: 4.21 eV per formula unit

=====

DFT (PBE) results for crystalline TaTl2I8 at its relaxed geometry.

```
data_TaTl2I8
_chemical_formula_sum 'Ta1 Tl2 I8'
_space_group_name_H-M_alt 'P 1'
_space_group_IT_number 1
_space_group_name_Hall 'P 1'
_cell_length_a 6.551
_cell_length_b 8.993
_cell_length_c 8.993
_cell_angle_alpha 73.55
_cell_angle_beta 86.51
_cell_angle_gamma 86.51
loop_
_atom_site_label
_atom_site_type_symbol
_atom_site_fract_x
_atom_site_fract_y
_atom_site_fract_z
I1 I 0.228 0.904 0.262
I2 I 0.772 0.096 0.738
I3 I 0.279 0.846 0.846
Tl1 Tl 0.211 0.605 0.605
Tl2 Tl 0.789 0.395 0.395
I4 I 0.228 0.262 0.904
Ta1 Ta 0.000 0.000 0.000
I5 I 0.287 0.379 0.379
I6 I 0.721 0.154 0.154
I7 I 0.713 0.621 0.621
I8 I 0.772 0.738 0.096
```

Summary:
**Space-group type**: C2/m, No. 12
**Formation energy without anion corrections**: -0.4023 eV per atom
**Density of states at the Fermi level**: 6.62 states/eV per cell

=====

DFT (PBE) results for crystalline Y2CoHRu at its relaxed geometry.

```
data_Y2CoHRu
_chemical_formula_sum 'Y2 Co1 H1 Ru1'
_space_group_name_H-M_alt 'P 1'
_space_group_IT_number 1
_space_group_name_Hall 'P 1'
_cell_length_a 4.828
_cell_length_b 4.828
_cell_length_c 3.411
_cell_angle_alpha 90.00
_cell_angle_beta 90.00
_cell_angle_gamma 90.00
loop_
_atom_site_label
_atom_site_type_symbol
_atom_site_fract_x
_atom_site_fract_y
_atom_site_fract_z
Y1 Y 0.000 0.500 0.000
Ru1 Ru 0.500 0.500 0.500
H1 H 0.000 0.000 0.000
Y2 Y 0.500 0.000 0.000
Co1 Co 0.000 0.000 0.500
```

Summary:
**Excess energy over the best structure of this formula in the dataset**: 0.000 eV/atom
**Space-group type**: P4/mmm, No. 123
**Density of states at the Fermi level**: 2.17 states/eV per cell

=====

DFT (PBE) results for crystalline ZrMo2Cl at its relaxed geometry.

```
data_ZrMo2Cl
_chemical_formula_sum 'Zr1 Mo2 Cl1'
_space_group_name_H-M_alt 'P 1'
_space_group_IT_number 1
_space_group_name_Hall 'P 1'
_cell_length_a 5.378
_cell_length_b 3.645
_cell_length_c 3.645
_cell_angle_alpha 90.00
_cell_angle_beta 90.00
_cell_angle_gamma 90.00
loop_
_atom_site_label
_atom_site_type_symbol
_atom_site_fract_x
_atom_site_fract_y
_atom_site_fract_z
Zr1 Zr 0.500 0.500 0.000
Mo1 Mo 0.000 0.000 0.000
Cl1 Cl 0.500 0.000 0.500
Mo2 Mo 0.000 0.500 0.500
```

Summary:
**Excess energy over the best structure of this formula in the dataset**: 0.519 eV/atom
**Space-group type**: P4/mmm, No. 123
**Formation energy without anion corrections**: 0.3620 eV per atom
**Density of states at the Fermi level**: 4.01 states/eV per cell

=====

DFT (PBE) results for crystalline Pu2NbPb at its relaxed geometry.

```
data_Pu2NbPb
_chemical_formula_sum 'Pu2 Nb1 Pb1'
_space_group_name_H-M_alt 'P 1'
_space_group_IT_number 1
_space_group_name_Hall 'P 1'
_cell_length_a 4.808
_cell_length_b 4.401
_cell_length_c 4.401
_cell_angle_alpha 90.00
_cell_angle_beta 90.00
_cell_angle_gamma 90.00
loop_
_atom_site_label
_atom_site_type_symbol
_atom_site_fract_x
_atom_site_fract_y
_atom_site_fract_z
Pu1 Pu 0.000 0.000 0.500
Nb1 Nb 0.500 0.500 0.500
Pb1 Pb 0.500 0.000 0.000
Pu2 Pu 0.000 0.500 0.000
```

Summary:
**Excess energy over the best structure of this formula in the dataset**: 0.000 eV/atom
**Space-group type**: P4/mmm, No. 123
**Density of states at the Fermi level**: 10.24 states/eV per cell
**DFT formation energy**: 0.51 eV per formula unit

=====

DFT (PBE) results for crystalline NdCd3Pd3 at its relaxed geometry.

```
data_NdCd3Pd3
_chemical_formula_sum 'Nd1 Cd3 Pd3'
_space_group_name_H-M_alt 'P 1'
_space_group_IT_number 1
_space_group_name_Hall 'P 1'
_cell_length_a 5.803
_cell_length_b 5.803
_cell_length_c 5.803
_cell_angle_alpha 110.15
_cell_angle_beta 110.15
_cell_angle_gamma 110.15
loop_
_atom_site_label
_atom_site_type_symbol
_atom_site_fract_x
_atom_site_fract_y
_atom_site_fract_z
Cd1 Cd 0.109 0.546 0.546
Pd1 Pd 0.058 0.546 0.058
Nd1 Nd 0.936 0.936 0.936
Pd2 Pd 0.058 0.058 0.546
Pd3 Pd 0.546 0.058 0.058
Cd2 Cd 0.546 0.546 0.109
Cd3 Cd 0.546 0.109 0.546
```

Summary:
**Excess energy over the best structure of this formula in the dataset**: 0.000 eV/atom
**Space-group type**: R3m, No. 160
**Density of states at the Fermi level**: 2.41 states/eV per cell
**DFT formation energy**: -2.99 eV per formula unit